(1)
The following is a SCAN calculation of a crystal of CdRe2Ag relaxed with PBEsol, from Alexandria.

## Properties
The calculation puts the calculated formation energy at 784.3 meV/atom. For the total energy, the calculation gives -50.21 eV/atom. The calculation puts the density of states at the Fermi level at 2.88 states/eV/cell. As for the space-group type: Pmmm.

Lattice parameters (Å, degrees): 2.6619 4.5981 5.2440 90.00 90.00 90.00
With the nearest neighbours (Å) after each atom.
Element x y z (fractional)
Re1 0.0000 0.0000 0.2475  4 Re 2.60-2.66
Re2 0.0000 0.0000 0.7525  4 Re 2.60-2.66
Cd1 0.5000 0.5000 0.5000  2 Ag 2.62, 2 Cd 2.66
Ag1 0.5000 0.5000 0.0000  2 Cd 2.62, 2 Ag 2.66

(2)
The following is a SCAN calculation of a crystal of BeTlP2O relaxed with PBEsol, from Alexandria.

## Properties
For the total energy, the calculation gives -20.75 eV/atom. The calculation puts the density of states at the Fermi level at 2.91 states/eV/cell. For the uncorrected formation energy, the calculation gives -0.004 eV per atom. As for the space-group type: P4/mmm.

Lattice parameters (Å, degrees): 2.9650 5.1496 5.1496 90.00 90.00 90.00
With the nearest neighbours (Å) after each atom.
Element x y z (fractional)
Be1 0.0000 0.0000 0.0000  2 O 1.48
P1 0.0000 0.0000 0.5000  2 Be 2.57
P2 0.0000 0.5000 0.0000  2 Be 2.57
O1 0.5000 0.0000 0.0000  2 Be 1.48
Tl1 0.5000 0.5000 0.5000  2 Tl 2.97, 8 P 2.97

Repeat the second record exactly.
The following is a SCAN calculation of a crystal of BeTlP2O relaxed with PBEsol, from Alexandria.

## Properties
For the total energy, the calculation gives -20.75 eV/atom. The calculation puts the density of states at the Fermi level at 2.91 states/eV/cell. For the uncorrected formation energy, the calculation gives -0.004 eV per atom. As for the space-group type: P4/mmm.

Lattice parameters (Å, degrees): 2.9650 5.1496 5.1496 90.00 90.00 90.00
With the nearest neighbours (Å) after each atom.
Element x y z (fractional)
Be1 0.0000 0.0000 0.0000  2 O 1.48
P1 0.0000 0.0000 0.5000  2 Be 2.57
P2 0.0000 0.5000 0.0000  2 Be 2.57
O1 0.5000 0.0000 0.0000  2 Be 1.48
Tl1 0.5000 0.5000 0.5000  2 Tl 2.97, 8 P 2.97